A relaxed BaEuN crystal, computed with PBE.

## Properties
- Energy relative to the elements, uncorrected: -0.163 eV/atom
- Uncorrected energy: -7.00 eV per atom
- ΔE to the lowest computed polymorph: 8.605 kcal/mol of atoms
- Total moment: 7.0 μB/f.u.

Cell lengths 3.3869, 3.3869, 14.1271 Å; angles 90.00, 90.00, 90.00 degrees
With the nearest neighbours (Å) after each atom.
Space group I4mm (No. 107)
Symmetry-distinct sites (fractional):
Ba  0.0000  0.0000  0.0000 [2 per cell]  1 Eu 2.93, 4 N 2.94
Eu  0.0000  0.0000  0.2075 [2 per cell]  4 N 2.69, 1 Ba 2.93
N  0.0000  0.0000  0.6204 [2 per cell]  4 Eu 2.69, 4 Ba 2.94


A relaxed KBa3 crystal, computed with PBE.

## Properties
- Uncorrected energy: -1.61 eV per atom
- ΔE to the lowest computed polymorph: 1.264 kcal/mol of atoms
- Total moment: 0.0 μB/f.u.
- Energy relative to the elements: 101 meV per atom

Cell lengths 7.4694, 8.8795, 8.0262 Å; angles 90.00, 90.00, 90.00 degrees
With the nearest neighbours (Å) after each atom.
Space group Pmmn (No. 59, origin choice 2)
Symmetry-distinct sites (fractional):
K  0.2500  0.2500  0.1596 [2 per cell]  12 Ba 4.44-4.65
Ba  0.2500  0.0007  0.6503 [4 per cell]  8 Ba 4.43-4.63, 4 K 4.52-4.65
Ba  0.2500  0.7500  0.1562 [2 per cell]  4 K 4.44-4.51, 8 Ba 4.55-4.63